Entry from the Alexandria database: Ce3Sm2Pb4 after structural relaxation (GGA-PBE).

Structure (POSCAR):
```
Ce3Sm2Pb4
1.0
8.337 -2.577 0.000
8.337 2.577 0.000
-1.740 0.000 6.667
Ce Sm Pb
3 2 4
Cartesian
0.000 0.000 0.000 Ce
0.881 0.000 3.835 Ce
14.053 0.000 2.832 Ce
3.957 0.000 6.110 Sm
10.977 0.000 0.557 Sm
3.667 0.000 2.021 Pb
7.003 0.000 4.781 Pb
7.931 0.000 1.886 Pb
11.268 0.000 4.647 Pb
```

Properties
* D(E_F): 21.39 states/eV per cell
* ΔH_f (0 K): -35.7 kJ/mol of atoms
* size of the total moment: 3.4 μB/f.u.